1.
DFT (GGA-PBE) results for crystalline La8TbTh3 at its relaxed geometry.

Properties
As for the total energy: -5.50 eV/atom. As for the magnetization: 0.00 μB/f.u.

a = 6.3882 Å, b = 6.3882 Å, c = 11.9745 Å
α = 90.00°, β = 90.00°, γ = 120.00°
Closest atoms and distances in Å follow each position.
Space group P-31m (No. 162)
One atom of each set of equivalent atoms:
La (0.0000, 0.3322, 0.2407) (multiplicity 6)  3 Th 3.58-3.59, 8 La 3.68-3.77, 1 Tb 3.76
La (0.3333, 0.6667, 0.5000) (multiplicity 2)  3 Tb 3.69, 9 La 3.69-3.77
Tb (0.0000, 0.0000, 0.5000) (multiplicity 1)  12 La 3.69-3.76
Th (0.0000, 0.0000, 0.0000) (multiplicity 1)  6 La 3.58, 6 Th 3.69
Th (0.3333, 0.6667, 0.0000) (multiplicity 2)  6 La 3.59, 6 Th 3.69

=====

2.
DFT (GGA-PBE) results for crystalline CaCe2Ge2Pd2 at its relaxed geometry.

Properties
As for the total energy: -5.49 eV/atom. As for the magnetization: 0.71 μB/f.u.

a = 4.4145 Å, b = 4.4145 Å, c = 27.0308 Å
α = 90.00°, β = 90.00°, γ = 120.00°
Closest atoms and distances in Å follow each position.
Space group R-3m (No. 166, hexagonal axes)
One atom of each set of equivalent atoms:
Ca (0.0000, 0.0000, 0.0000) (multiplicity 3)  6 Ge 3.26, 6 Pd 3.28
Ce (0.0000, 0.0000, 0.1384) (multiplicity 6)  3 Ce 2.97, 3 Pd 3.05, 4 Ge 3.07-3.24
Ge (0.0000, 0.0000, 0.2584) (multiplicity 6)  3 Pd 2.55
Pd (0.0000, 0.0000, 0.4096) (multiplicity 6)  3 Ge 2.55

=====

3.
DFT (GGA-PBE) results for crystalline KPrY2Te4 at its relaxed geometry.

Properties
As for the total energy: -5.29 eV/atom. As for the magnetization: 0.00 μB/f.u.

a = 7.8479 Å, b = 4.4312 Å, c = 7.9158 Å
α = 90.00°, β = 108.34°, γ = 90.00°
Closest atoms and distances in Å follow each position.
Space group P2/m (No. 10)
One atom of each set of equivalent atoms:
K (0.0000, 0.0000, 0.0000) (multiplicity 1)  6 Te 3.29-3.32
Pr (0.5000, 0.5000, 0.0000) (multiplicity 1)  6 Te 3.26
Y (0.0000, 0.5000, 0.5000) (multiplicity 1)  6 Te 3.14
Y (0.5000, 0.0000, 0.5000) (multiplicity 1)  6 Te 3.08-3.10
Te (0.2483, 0.0000, 0.7339) (multiplicity 2)  3 Y 3.10-3.14, 2 Pr 3.26, 1 K 3.29
Te (0.2633, 0.5000, 0.2721) (multiplicity 2)  3 Y 3.08-3.14, 1 Pr 3.26, 2 K 3.32

=====

4.
DFT (GGA-PBE) results for crystalline Cd5InPd8 at its relaxed geometry.

Properties
As for the total energy: -3.75 eV/atom. As for the magnetization: 0.00 μB/f.u.

a = 7.9521 Å, b = 7.9521 Å, c = 8.1314 Å
α = 90.00°, β = 90.00°, γ = 90.00°
Closest atoms and distances in Å follow each position.
Space group I-4 (No. 82)
One atom of each set of equivalent atoms:
Cd (0.0000, 0.0000, 0.0000) (multiplicity 2)  4 Pd 2.72
Cd (0.1223, 0.2808, 0.6555) (multiplicity 8)  8 Pd 2.74-2.87
In (0.0000, 0.5000, 0.2500) (multiplicity 2)  8 Pd 2.65-2.78
Pd (0.0687, 0.1670, 0.3316) (multiplicity 8)  1 In 2.78, 5 Cd 2.80-3.05, 4 Pd 2.87-3.07
Pd (0.0987, 0.3270, 0.9892) (multiplicity 8)  1 In 2.65, 5 Cd 2.72-2.82, 1 Pd 2.94